1.
The following is a DFT calculation (PBE) of a geometry-optimized CsNaSnAu2 structure.

Cell: 5.4274 5.4274 5.8088 Å, 90.00 90.00 90.00°
Closest atoms and distances in Å follow each position.
Element x y z (fractional)
1 Cs 0.0000 0.0000 0.0000  4 Na 3.84, 8 Au 3.97
2 Na 0.5000 0.5000 0.0000  2 Sn 2.90
3 Sn 0.5000 0.5000 0.5000  4 Au 2.71, 2 Na 2.90
4 Au 0.0000 0.5000 0.5000  2 Sn 2.71
5 Au 0.5000 0.0000 0.5000  2 Sn 2.71

Symmetry: No. 123
E_form in eV/atom: -0.163
Size of the total moment in Bohr magnetons per cell: 0.00
DOS at the Fermi energy in states/eV/atom: 0.577

---

2.
The following is a DFT calculation (PBE) of a geometry-optimized La6CoPb2 structure.

Cell: 7.3871 7.3871 10.4379 Å, 90.00 90.00 90.00°
Closest atoms and distances in Å follow each position.
Element x y z (fractional)
1 La 0.0000 0.0000 0.2486  1 Co 2.62
2 La 0.0000 0.0000 0.7514  1 Co 2.62
3 La 0.2458 0.2469 0.0000  1 Co 2.65
4 La 0.2469 0.7542 0.0000  1 Co 2.65
5 La 0.2531 0.2542 0.5000  1 Co 2.65
6 La 0.2542 0.7469 0.5000  1 Co 2.65
7 La 0.5000 0.5000 0.2514  1 Co 2.62
8 La 0.5000 0.5000 0.7486  1 Co 2.62
9 La 0.7458 0.2531 0.5000  1 Co 2.65
10 La 0.7469 0.7458 0.5000  1 Co 2.65
11 La 0.7531 0.2458 0.0000  1 Co 2.65
12 La 0.7542 0.7531 0.0000  1 Co 2.65
13 Co 0.0000 0.0000 0.5000  6 La 2.62-2.65
14 Co 0.5000 0.5000 0.0000  6 La 2.62-2.65
15 Pb 0.0000 0.5000 0.2500  12 La 3.69-3.70
16 Pb 0.0000 0.5000 0.7500  12 La 3.69-3.70
17 Pb 0.5000 0.0000 0.2500  12 La 3.69-3.70
18 Pb 0.5000 0.0000 0.7500  12 La 3.69-3.70

Symmetry: No. 128
E_form in eV/atom: -0.401
Size of the total moment in Bohr magnetons per cell: 0.00
DOS at the Fermi energy in states/eV/atom: 0.795

---

3.
The following is a DFT calculation (PBE) of a geometry-optimized Ac2NiP2N6 structure.

Cell: 6.1685 6.1685 6.1685 Å, 53.59 53.59 53.59°
Closest atoms and distances in Å follow each position.
Element x y z (fractional)
1 Ac 0.2258 0.2258 0.2258  9 N 2.80-2.81
2 Ac 0.7742 0.7742 0.7742  9 N 2.80-2.81
3 Ni 0.0000 0.0000 0.0000  6 N 2.05
4 P 0.4261 0.4261 0.4261  3 N 1.62
5 P 0.5739 0.5739 0.5739  3 N 1.62
6 N 0.2469 0.2469 0.7478  1 P 1.62
7 N 0.2469 0.7478 0.2469  1 P 1.62
8 N 0.2522 0.7531 0.7531  1 P 1.62
9 N 0.7478 0.2469 0.2469  1 P 1.62
10 N 0.7531 0.2522 0.7531  1 P 1.62
11 N 0.7531 0.7531 0.2522  1 P 1.62

Formation energy (no corrections) in eV per atom: -0.580
Symmetry: No. 166
Size of the total moment in Bohr magnetons per cell: 0.00
DOS at the Fermi energy in states/eV/atom: 0.122